Material: HfCoO2F
Method: DFT, GGA+U
State: optimized geometry

a = 3.7912 Å, b = 3.7912 Å, c = 3.7378 Å
α = 90.00°, β = 90.00°, γ = 90.00°
Each line ends with the local moment (μB).
Positions (direct):
Co 0.0000 0.0000 0.0000  1.34
Hf 0.5000 0.5000 0.5000  -0.08
O 0.0000 0.5000 0.0000  -0.02
O 0.5000 0.0000 0.0000  -0.02
F 0.0000 0.0000 0.5000  0.03

Properties
As for the electronic total energy: -6.617 eV/atom.